# CaCo2Tc | Alexandria | PBE-GGA | relaxed
# Energy above the lowest structure with this stoichiometry, eV per atom: 0.4199
# Calculated formation energy, eV per atom: 0.72
# Total moment, μB/f.u.: 4.319
data_CaCo2Tc
_chemical_formula_sum 'Ca1 Co2 Tc1'
_cell_length_a 4.402
_cell_length_b 4.402
_cell_length_c 4.402
_cell_angle_alpha 60.00
_cell_angle_beta 60.00
_cell_angle_gamma 60.00
_space_group_name_H-M_alt 'P 1'
_space_group_IT_number 1
loop_
_space_group_symop_operation_xyz
'x,y,z'
loop_
_atom_site_label
_atom_site_type_symbol
_atom_site_fract_x
_atom_site_fract_y
_atom_site_fract_z
Co1 Co 0.000 0.000 0.000
Co2 Co 0.250 0.250 0.250
Ca1 Ca 0.500 0.500 0.500
Tc1 Tc 0.750 0.750 0.750

=====

# CaCo2Tc | Alexandria | PBE-GGA | relaxed
# Energy above the lowest structure with this stoichiometry, eV per atom: 0.0000
# Calculated formation energy, eV per atom: 0.30
# Total moment, μB/f.u.: 2.578
data_CaCo2Tc
_chemical_formula_sum 'Ca1 Co2 Tc1'
_cell_length_a 3.056
_cell_length_b 3.056
_cell_length_c 6.817
_cell_angle_alpha 90.00
_cell_angle_beta 90.00
_cell_angle_gamma 90.00
_space_group_name_H-M_alt 'P 1'
_space_group_IT_number 1
loop_
_space_group_symop_operation_xyz
'x,y,z'
loop_
_atom_site_label
_atom_site_type_symbol
_atom_site_fract_x
_atom_site_fract_y
_atom_site_fract_z
Ca1 Ca 0.500 0.500 0.750
Tc1 Tc 0.500 0.500 0.250
Co1 Co 0.000 0.000 0.440
Co2 Co 0.000 0.000 0.060

=====

# CaCoTc | Alexandria | PBE-GGA | relaxed
# Energy above the lowest structure with this stoichiometry, eV per atom: 0.5763
# Calculated formation energy, eV per atom: 0.73
# Total moment, μB/f.u.: 1.486
data_CaCoTc
_chemical_formula_sum 'Ca1 Co1 Tc1'
_cell_length_a 2.939
_cell_length_b 2.939
_cell_length_c 6.830
_cell_angle_alpha 90.00
_cell_angle_beta 90.00
_cell_angle_gamma 120.00
_space_group_name_H-M_alt 'P 1'
_space_group_IT_number 1
loop_
_space_group_symop_operation_xyz
'x,y,z'
loop_
_atom_site_label
_atom_site_type_symbol
_atom_site_fract_x
_atom_site_fract_y
_atom_site_fract_z
Co1 Co 0.667 0.333 0.364
Tc1 Tc 0.333 0.667 0.630
Ca1 Ca 0.000 0.000 0.006

=====

# CaCoTc2 | Alexandria | PBE-GGA | relaxed
# Energy above the lowest structure with this stoichiometry, eV per atom: 0.0336
# Calculated formation energy, eV per atom: 0.36
# Total moment, μB/f.u.: 0.602
data_CaCoTc2
_chemical_formula_sum 'Ca1 Co1 Tc2'
_cell_length_a 5.786
_cell_length_b 5.786
_cell_length_c 4.554
_cell_angle_alpha 66.81
_cell_angle_beta 66.81
_cell_angle_gamma 27.30
_space_group_name_H-M_alt 'P 1'
_space_group_IT_number 1
loop_
_space_group_symop_operation_xyz
'x,y,z'
loop_
_atom_site_label
_atom_site_type_symbol
_atom_site_fract_x
_atom_site_fract_y
_atom_site_fract_z
Tc1 Tc 0.040 0.040 0.960
Tc2 Tc 0.460 0.460 0.540
Ca1 Ca 0.250 0.250 0.250
Co1 Co 0.750 0.750 0.750

=====

# CaCoTc | Alexandria | PBE-GGA | relaxed
# Energy above the lowest structure with this stoichiometry, eV per atom: 0.0666
# Calculated formation energy, eV per atom: 0.22
# Total moment, μB/f.u.: 0.279
data_CaCoTc
_chemical_formula_sum 'Ca2 Co2 Tc2'
_cell_length_a 4.243
_cell_length_b 5.640
_cell_length_c 4.909
_cell_angle_alpha 108.54
_cell_angle_beta 90.00
_cell_angle_gamma 89.98
_space_group_name_H-M_alt 'P 1'
_space_group_IT_number 1
loop_
_space_group_symop_operation_xyz
'x,y,z'
loop_
_atom_site_label
_atom_site_type_symbol
_atom_site_fract_x
_atom_site_fract_y
_atom_site_fract_z
Co1 Co 0.745 0.022 0.864
Co2 Co 0.245 0.022 0.585
Tc1 Tc 0.245 0.901 0.021
Tc2 Tc 0.745 0.926 0.341
Ca1 Ca 0.246 0.433 0.216
Ca2 Ca 0.746 0.486 0.721

=====

# CaCo2Tc | Alexandria | PBE-GGA | relaxed
# Energy above the lowest structure with this stoichiometry, eV per atom: 0.3585
# Calculated formation energy, eV per atom: 0.66
# Total moment, μB/f.u.: 2.338
data_CaCo2Tc
_chemical_formula_sum 'Ca1 Co2 Tc1'
_cell_length_a 8.874
_cell_length_b 8.874
_cell_length_c 8.874
_cell_angle_alpha 18.35
_cell_angle_beta 18.35
_cell_angle_gamma 18.35
_space_group_name_H-M_alt 'P 1'
_space_group_IT_number 1
loop_
_space_group_symop_operation_xyz
'x,y,z'
loop_
_atom_site_label
_atom_site_type_symbol
_atom_site_fract_x
_atom_site_fract_y
_atom_site_fract_z
Co1 Co 0.509 0.509 0.509
Co2 Co 0.991 0.991 0.991
Tc1 Tc 0.250 0.250 0.250
Ca1 Ca 0.750 0.750 0.750

=====

# Ca3CoTc | Alexandria | PBE-GGA | relaxed
# Energy above the lowest structure with this stoichiometry, eV per atom: 0.1666
# Calculated formation energy, eV per atom: 1.05
# Total moment, μB/f.u.: 1.843
data_Ca3CoTc
_chemical_formula_sum 'Ca3 Co1 Tc1'
_cell_length_a 5.337
_cell_length_b 5.337
_cell_length_c 5.337
_cell_angle_alpha 90.00
_cell_angle_beta 90.00
_cell_angle_gamma 90.00
_space_group_name_H-M_alt 'P 1'
_space_group_IT_number 1
loop_
_space_group_symop_operation_xyz
'x,y,z'
loop_
_atom_site_label
_atom_site_type_symbol
_atom_site_fract_x
_atom_site_fract_y
_atom_site_fract_z
Ca1 Ca 0.500 0.000 0.000
Ca2 Ca 0.000 0.000 0.500
Ca3 Ca 0.000 0.500 0.000
Tc1 Tc 0.000 0.000 0.000
Co1 Co 0.500 0.500 0.500

=====

# CaCoTc | Alexandria | PBE-GGA | relaxed
# Energy above the lowest structure with this stoichiometry, eV per atom: 0.1940
# Calculated formation energy, eV per atom: 0.35
# Total moment, μB/f.u.: 0.000
data_CaCoTc
_chemical_formula_sum 'Ca1 Co1 Tc1'
_cell_length_a 5.893
_cell_length_b 5.893
_cell_length_c 5.893
_cell_angle_alpha 152.23
_cell_angle_beta 145.59
_cell_angle_gamma 44.78
_space_group_name_H-M_alt 'P 1'
_space_group_IT_number 1
loop_
_space_group_symop_operation_xyz
'x,y,z'
loop_
_atom_site_label
_atom_site_type_symbol
_atom_site_fract_x
_atom_site_fract_y
_atom_site_fract_z
Tc1 Tc 0.710 0.710 0.000
Ca1 Ca 0.997 0.997 0.000
Co1 Co 0.293 0.293 0.000